[1]
# Ga5Rh6

Crystalline Ga5Rh6 at its relaxed geometry (GGA-PBE, Alexandria via LeMat-Bulk).

Computed properties:
The calculation puts the formation energy at -0.611 eV/atom.

Cell: 4.2346 5.9877 12.6761 Å, 90.00 90.00 90.00°
Last column: nearest neighbours and their distance in Å.
Space group Immm (No. 71)
Asymmetric unit:
Ga (0.0000, 0.0000, 0.0000)  8 Rh 2.59-2.60
Ga (0.0000, 0.0000, 0.3392)  8 Rh 2.53-2.64
Ga (0.0000, 0.5000, 0.3336)  8 Rh 2.58-2.59
Rh (0.0000, 0.2504, 0.1673)  7 Ga 2.58-2.64
Rh (0.0000, 0.2506, 0.5000)  6 Ga 2.53-2.59


[2]
# Ca3AlH2

Crystalline Ca3AlH2 at its relaxed geometry (GGA-PBE, Alexandria via LeMat-Bulk).

Computed properties:
The calculation puts the calculated total energy at -3.088 eV/atom.

Cell: 8.9180 11.2675 5.2760 Å, 90.00 90.00 90.00°
Last column: nearest neighbours and their distance in Å.
Space group Cmcm (No. 63)
Asymmetric unit:
Ca (0.0000, 0.1097, 0.2500)  4 H 2.25
Ca (0.2050, 0.3880, 0.2500)  2 H 2.23
Al (0.0000, 0.3141, 0.7500)  8 Ca 3.32-3.50
H (0.1503, 0.0000, 0.0000)  4 Ca 2.23-2.25


[3]
# InFeHgGe2

Crystalline InFeHgGe2 at its relaxed geometry (GGA-PBE, Alexandria via LeMat-Bulk).

Computed properties:
The calculation puts the formation energy at 0.098 eV/atom.

Cell: 4.5592 4.5592 5.1526 Å, 90.00 90.00 90.00°
Last column: nearest neighbours and their distance in Å.
Space group P4/mmm (No. 123)
Asymmetric unit:
In (0.0000, 0.0000, 0.0000)  2 Fe 2.58
Fe (0.0000, 0.0000, 0.5000)  4 Ge 2.28
Hg (0.5000, 0.5000, 0.0000)  4 In 3.22, 8 Ge 3.44
Ge (0.0000, 0.5000, 0.5000)  2 Fe 2.28


[4]
# Nb2Cr2Rh

Crystalline Nb2Cr2Rh at its relaxed geometry (GGA-PBE, Alexandria via LeMat-Bulk).

Computed properties:
The calculation puts the formation energy at 0.117 eV/atom.

Cell: 6.8710 6.8710 3.2148 Å, 90.00 90.00 90.00°
Last column: nearest neighbours and their distance in Å.
Space group P4/mbm (No. 127)
Asymmetric unit:
Nb (0.1930, 0.3070, 0.0000)  6 Cr 2.53-2.68
Cr (0.1058, 0.6058, 0.5000)  1 Cr 2.06
Rh (0.0000, 0.0000, 0.5000)  4 Cr 2.80, 8 Nb 2.97


[5]
# YHoBiSe

Crystalline YHoBiSe at its relaxed geometry (GGA-PBE, Alexandria via LeMat-Bulk).

Computed properties:
The calculation puts the uncorrected formation energy at -1238 meV per atom.

Cell: 4.2035 4.2035 21.8681 Å, 90.00 90.00 120.00°
Last column: nearest neighbours and their distance in Å.
Space group R3m (No. 160, hexagonal axes)
Asymmetric unit:
Y (0.0000, 0.0000, 0.0000)  3 Se 2.98, 3 Bi 3.16
Ho (0.0000, 0.0000, 0.8168)  3 Se 2.88, 3 Bi 3.14
Bi (0.0000, 0.0000, 0.2410)  3 Ho 3.14, 3 Y 3.16
Se (0.0000, 0.0000, 0.4123)  3 Ho 2.88, 3 Y 2.98


[6]
# BaVHgRh2

Crystalline BaVHgRh2 at its relaxed geometry (GGA-PBE, Alexandria via LeMat-Bulk).

Computed properties:
The calculation puts the formation energy at 1.965 eV/atom.

Cell: 5.0656 5.0656 5.9164 Å, 90.00 90.00 90.00°
Last column: nearest neighbours and their distance in Å.
Space group P4/mmm (No. 123)
Asymmetric unit:
Ba (0.0000, 0.0000, 0.0000)  4 Rh 2.53
V (0.5000, 0.5000, 0.5000)  4 Hg 3.58, 8 Rh 3.89
Hg (0.0000, 0.0000, 0.5000)  2 Ba 2.96
Rh (0.0000, 0.5000, 0.0000)  2 Ba 2.53


[7]
# Tb4PtAu2

Crystalline Tb4PtAu2 at its relaxed geometry (GGA-PBE, Alexandria via LeMat-Bulk).

Computed properties:
The calculation puts the formation energy at -0.797 eV/atom.

Cell: 5.0076 5.0076 24.9480 Å, 90.00 90.00 120.00°
Last column: nearest neighbours and their distance in Å.
Space group R-3m (No. 166, hexagonal axes)
Asymmetric unit:
Tb (0.0000, 0.0000, 0.1223)  4 Au 2.98-2.99, 1 Pt 3.05
Tb (0.0000, 0.0000, 0.3724)  3 Pt 3.05, 4 Au 3.17-3.26
Pt (0.0000, 0.0000, 0.0000)  8 Tb 3.05
Au (0.0000, 0.0000, 0.2418)  8 Tb 2.98-3.26


[8]
# MnCuRh2C

Crystalline MnCuRh2C at its relaxed geometry (GGA-PBE, Alexandria via LeMat-Bulk).

Computed properties:
The calculation puts the formation energy at 0.077 eV/atom.

Cell: 4.0250 4.0250 3.9284 Å, 90.00 90.00 90.00°
Last column: nearest neighbours and their distance in Å.
Space group P4/mmm (No. 123)
Asymmetric unit:
Mn (0.0000, 0.0000, 0.0000)  2 C 1.96
Cu (0.5000, 0.5000, 0.0000)  8 Rh 2.81, 4 Mn 2.85
Rh (0.0000, 0.5000, 0.5000)  2 C 2.01
C (0.0000, 0.0000, 0.5000)  2 Mn 1.96, 4 Rh 2.01


Number 1: size of the total moment 0.00 μB/cell. Number 2: size of the total moment 0.00 μB/cell. Number 3: size of the total moment 0.81 μB/cell. Number 4: size of the total moment 0.00 μB/cell. Number 5: size of the total moment 0.00 μB/cell. Number 6: size of the total moment 0.12 μB/cell. Number 7: size of the total moment 0.00 μB/cell. Number 8: size of the total moment 3.82 μB/cell.